[1]
Material: SbC
Method: DFT, PBE
State: optimized geometry

Properties
**Calculated density**: 5.17 g cm⁻³
**Total energy**: -22.1 eV per cell
**Energy above the lowest structure with this stoichiometry**: 325 meV per atom
**Raw formation energy**: 2.32 eV/f.u.

Cell and atoms, written as POSCAR:
```
SbC
1.0
2.928 1.690 2.897
-2.928 1.690 2.897
0.000 -3.380 2.897
Sb C
2 2
Cartesian
0.000 0.000 1.618 Sb
0.000 0.000 7.072 Sb
0.000 0.000 3.719 C
0.000 0.000 4.971 C
```

=====

[2]
Material: Sb2C
Method: DFT, PBE
State: optimized geometry

Properties
**Calculated density**: 7.00 g cm⁻³
**Total energy**: -13.0 eV per cell
**Energy above the lowest structure with this stoichiometry**: 870 meV per atom
**Raw formation energy**: 4.45 eV/f.u.

Cell and atoms, written as POSCAR:
```
Sb2C
1.0
-1.615 1.615 5.808
1.615 -1.615 5.808
1.615 1.615 -5.808
Sb C
2 1
Cartesian
0.000 0.000 1.407 Sb
0.000 0.000 10.208 Sb
0.000 0.000 5.808 C
```

=====

[3]
Material: SbC
Method: DFT, PBE
State: optimized geometry

Properties
**Calculated density**: 5.00 g cm⁻³
**Total energy**: -61.1 eV per cell
**Energy above the lowest structure with this stoichiometry**: 749 meV per atom
**Raw formation energy**: 3.17 eV/f.u.

Cell and atoms, written as POSCAR:
```
SbC
1.0
6.434 0.000 0.000
0.000 6.434 0.000
0.000 0.000 6.434
Sb C
6 6
Cartesian
0.000 1.608 3.217 Sb
0.000 4.825 3.217 Sb
1.608 3.217 0.000 Sb
3.217 0.000 1.608 Sb
3.217 0.000 4.825 Sb
4.825 3.217 0.000 Sb
0.000 3.217 1.608 C
0.000 3.217 4.825 C
1.608 0.000 3.217 C
3.217 1.608 0.000 C
3.217 4.825 0.000 C
4.825 0.000 3.217 C
```